Entry from Alexandria via LeMat-Bulk: a relaxed structure of Na2MoAuC (GGA-PBEsol).

Output
Total moment, μB per formula unit: 4.846
ΔH_f (0 K), eV/atom: 1.38

Lattice parameters (Å, degrees): 5.1026 5.1026 3.8554 90.00 90.00 90.00
Closest atoms and distances in Å follow each position.
Element x y z (fractional)
Na1 0.0000 0.5000 0.0000  2 C 2.55
Na2 0.5000 0.0000 0.0000  2 C 2.55
Mo1 0.0000 0.0000 0.5000  8 Na 3.20
Au1 0.5000 0.5000 0.5000  2 C 1.93
C1 0.5000 0.5000 0.0000  2 Au 1.93